DFT (PBE-GGA) results for a relaxed structure of HoLuAg2Sn2.

Properties
Symmetry = P3m1 (156)
E = -4.35 eV per atom

a b c (Å): 4.7063 4.7063 7.2618
angles (deg): 90.00 90.00 120.00
Closest atoms and distances in Å follow each position.
Atoms (fractional coordinates):
Ag: 0.6667 0.3333 0.4481  4 Sn 2.80-2.96, 3 Lu 3.04
Ag: 0.3333 0.6667 0.9505  4 Sn 2.80-2.99, 3 Ho 3.05
Ho: 0.0000 0.0000 0.7604  3 Ag 3.05, 6 Sn 3.16-3.40
Lu: 0.0000 0.0000 0.2609  3 Ag 3.04, 6 Sn 3.15-3.39
Sn: 0.6667 0.3333 0.0411  4 Ag 2.80-2.96
Sn: 0.3333 0.6667 0.5390  4 Ag 2.80-2.99